Density functional theory data (PBE-GGA) for Pr2Zn2Ir after structural relaxation.

```
data_Pr2Zn2Ir
_symmetry_space_group_name_H-M 'C 1 2/m 1'
_symmetry_Int_Tables_number 12
_symmetry_space_group_name_Hall '-C 2y'
_cell_length_a 10.9428
_cell_length_b 4.0813
_cell_length_c 11.2925
_cell_angle_alpha 90.00
_cell_angle_beta 111.41
_cell_angle_gamma 90.00
loop_
_atom_site_label
_atom_site_fract_x
_atom_site_fract_y
_atom_site_fract_z
Pr1 0.0049 0.0000 0.3398
Pr2 0.1955 0.0000 0.1245
Zn1 0.0214 0.5000 0.8904
Zn2 0.1745 0.5000 0.5501
Ir1 0.1996 0.5000 0.3144
```

Calculated values
Crystal system: monoclinic
Uncorrected energy (eV/cell): -93.270
Volume (Å³ per cell): 469.5
Formation energy from the elements (eV/atom): -0.470

Density functional theory data (PBE-GGA) for Pr3Zn9Ir2 after structural relaxation.

```
data_Pr3Zn9Ir2
_symmetry_space_group_name_H-M 'I m m m'
_symmetry_Int_Tables_number 71
_symmetry_space_group_name_Hall '-I 2 2'
_cell_length_a 4.3147
_cell_length_b 9.1751
_cell_length_c 13.3060
_cell_angle_alpha 90.00
_cell_angle_beta 90.00
_cell_angle_gamma 90.00
loop_
_atom_site_label
_atom_site_fract_x
_atom_site_fract_y
_atom_site_fract_z
Pr1 0.0000 0.0000 0.0000
Pr2 0.0000 0.0000 0.3099
Zn1 0.0000 0.2816 0.1238
Zn2 0.0000 0.3571 0.3326
Zn3 0.0000 0.5000 0.0000
Ir1 0.0000 0.2054 0.5000
```

Calculated values
Crystal system: orthorhombic
Uncorrected energy (eV/cell): -97.383
Volume (Å³ per cell): 526.8
Formation energy from the elements (eV/atom): -0.369

Density functional theory data (PBE-GGA) for Pr3Zn7Ir2 after structural relaxation.

```
data_Pr3Zn7Ir2
_symmetry_space_group_name_H-M 'R -3 m'
_symmetry_Int_Tables_number 166
_symmetry_space_group_name_Hall '-R 3 2"'
_cell_length_a 5.5624
_cell_length_b 5.5624
_cell_length_c 26.0211
_cell_angle_alpha 90.00
_cell_angle_beta 90.00
_cell_angle_gamma 120.00
loop_
_atom_site_label
_atom_site_fract_x
_atom_site_fract_y
_atom_site_fract_z
Pr1 0.0000 0.0000 0.0000
Pr2 0.0000 0.0000 0.1487
Zn1 0.0000 0.0000 0.5000
Zn2 0.0054 0.5027 0.0787
Ir1 0.0000 0.0000 0.3330
```

Calculated values
Crystal system: trigonal
Uncorrected energy (eV/cell): -133.945
Volume (Å³ per cell): 697.2
Formation energy from the elements (eV/atom): -0.306

Density functional theory data (PBE-GGA) for PrZn3Ir after structural relaxation.

```
data_PrZn3Ir
_symmetry_space_group_name_H-M 'C m c m'
_symmetry_Int_Tables_number 63
_symmetry_space_group_name_Hall '-C 2c 2'
_cell_length_a 6.1207
_cell_length_b 11.1256
_cell_length_c 5.6437
_cell_angle_alpha 90.00
_cell_angle_beta 90.00
_cell_angle_gamma 90.00
loop_
_atom_site_label
_atom_site_fract_x
_atom_site_fract_y
_atom_site_fract_z
Pr1 0.0000 0.2400 0.2500
Zn1 0.0000 0.3527 0.7500
Zn2 0.2364 0.5000 0.0000
Ir1 0.0000 0.1284 0.7500
```

Calculated values
Crystal system: orthorhombic
Uncorrected energy (eV/cell): -77.193
Volume (Å³ per cell): 384.3
Formation energy from the elements (eV/atom): -0.367

Density functional theory data (PBE-GGA) for Pr2ZnIr after structural relaxation.

```
data_Pr2ZnIr
_symmetry_space_group_name_H-M 'F m -3 m'
_symmetry_Int_Tables_number 225
_symmetry_space_group_name_Hall '-F 4 2 3'
_cell_length_a 7.2660
_cell_length_b 7.2660
_cell_length_c 7.2660
_cell_angle_alpha 90.00
_cell_angle_beta 90.00
_cell_angle_gamma 90.00
loop_
_atom_site_label
_atom_site_fract_x
_atom_site_fract_y
_atom_site_fract_z
Pr1 0.2500 0.2500 0.2500
Zn1 0.0000 0.0000 0.0000
Ir1 0.0000 0.0000 0.5000
```

Calculated values
Crystal system: cubic
Uncorrected energy (eV/cell): -85.786
Volume (Å³ per cell): 383.6
Formation energy from the elements (eV/atom): -0.438

Density functional theory data (PBE-GGA) for PrZn4Ir after structural relaxation.

```
data_PrZn4Ir
_symmetry_space_group_name_H-M 'C m c m'
_symmetry_Int_Tables_number 63
_symmetry_space_group_name_Hall '-C 2c 2'
_cell_length_a 4.8050
_cell_length_b 13.6343
_cell_length_c 6.8818
_cell_angle_alpha 90.00
_cell_angle_beta 90.00
_cell_angle_gamma 90.00
loop_
_atom_site_label
_atom_site_fract_x
_atom_site_fract_y
_atom_site_fract_z
Pr1 0.0000 0.1114 0.2500
Zn1 0.0000 0.1043 0.7500
Zn2 0.0000 0.2769 0.5744
Zn3 0.0000 0.5000 0.0000
Ir1 0.0000 0.3618 0.2500
```

Calculated values
Crystal system: orthorhombic
Uncorrected energy (eV/cell): -80.995
Volume (Å³ per cell): 450.8
Formation energy from the elements (eV/atom): -0.252

Density functional theory data (PBE-GGA) for Pr2ZnIr after structural relaxation.

```
data_Pr2ZnIr
_symmetry_space_group_name_H-M 'R -3 m'
_symmetry_Int_Tables_number 166
_symmetry_space_group_name_Hall '-R 3 2"'
_cell_length_a 4.1938
_cell_length_b 4.1938
_cell_length_c 29.0092
_cell_angle_alpha 90.00
_cell_angle_beta 90.00
_cell_angle_gamma 120.00
loop_
_atom_site_label
_atom_site_fract_x
_atom_site_fract_y
_atom_site_fract_z
Pr1 0.0000 0.0000 0.1147
Zn1 0.0000 0.0000 0.0000
Ir1 0.0000 0.0000 0.5000
```

Calculated values
Crystal system: trigonal
Uncorrected energy (eV/cell): -60.454
Volume (Å³ per cell): 441.9
Formation energy from the elements (eV/atom): -0.114

Density functional theory data (PBE-GGA) for PrZn5Ir2 after structural relaxation.

```
data_PrZn5Ir2
_symmetry_space_group_name_H-M 'I m m m'
_symmetry_Int_Tables_number 71
_symmetry_space_group_name_Hall '-I 2 2'
_cell_length_a 4.0698
_cell_length_b 7.5569
_cell_length_c 9.5300
_cell_angle_alpha 90.00
_cell_angle_beta 90.00
_cell_angle_gamma 90.00
loop_
_atom_site_label
_atom_site_fract_x
_atom_site_fract_y
_atom_site_fract_z
Pr1 0.0000 0.0000 0.0000
Zn1 0.0000 0.1811 0.3408
Zn2 0.0000 0.5000 0.0000
Ir1 0.0000 0.5000 0.2599
```

Calculated values
Crystal system: orthorhombic
Uncorrected energy (eV/cell): -62.724
Volume (Å³ per cell): 293.1
Formation energy from the elements (eV/atom): -0.311